# 1
This record from Alexandria via LeMat-Bulk describes SrGeIr after structural relaxation. The functional is PBE-GGA.

a = 4.7185 Å, b = 4.2160 Å, c = 4.2160 Å
α = 120.00°, β = 90.00°, γ = 90.00°
With the nearest neighbours (Å) after each atom.
Sites, in units of the cell vectors:
Sr  0.6666  0.3333  0.6667  6 Ge 3.39, 6 Ir 3.39
Ge  0.1667  0.6667  0.3333  3 Ir 2.43
Ir  0.1667  0.0000  0.0000  3 Ge 2.43

## Properties
Energy of formation from the pure elements, meV/atom: -541
Total DFT energy (no corrections), eV per atom: -5.594
M_tot, μB/atom: 0.000

# 2
This record from Alexandria via LeMat-Bulk describes Sr3Ge4Ir2 after structural relaxation. The functional is PBE-GGA.

a = 4.4146 Å, b = 6.2965 Å, c = 8.5250 Å
α = 105.88°, β = 90.00°, γ = 110.52°
With the nearest neighbours (Å) after each atom.
Sites, in units of the cell vectors:
Sr  0.6062  0.2124  0.6915  8 Ge 3.21-3.58, 4 Ir 3.30-3.51, 1 Sr 3.49
Sr  0.0000  0.0000  0.0000  8 Ge 3.28-3.52
Sr  0.3938  0.7876  0.3085  8 Ge 3.21-3.58, 4 Ir 3.30-3.51, 1 Sr 3.49
Ge  0.7237  0.4474  0.0814  1 Ir 2.48, 2 Ge 2.77
Ge  0.2763  0.5526  0.9186  1 Ir 2.48, 2 Ge 2.77
Ge  0.8837  0.7675  0.6007  3 Ir 2.48-2.51
Ge  0.1163  0.2325  0.3993  3 Ir 2.48-2.51
Ir  0.7000  0.4001  0.3612  4 Ge 2.48-2.51
Ir  0.3000  0.5999  0.6388  4 Ge 2.48-2.51

## Properties
Energy of formation from the pure elements, meV/atom: -594
Total DFT energy (no corrections), eV per atom: -5.176
Energy above the most stable polymorph in this dataset, eV/atom: 0.000
M_tot, μB/atom: 0.000

# 3
This record from Alexandria via LeMat-Bulk describes SrGe3Ir after structural relaxation. The functional is PBE-GGA.

a = 4.9399 Å, b = 4.9399 Å, c = 4.9399 Å
α = 90.00°, β = 90.00°, γ = 90.00°
With the nearest neighbours (Å) after each atom.
Sites, in units of the cell vectors:
Sr  0.5000  0.5000  0.5000  12 Ge 3.49
Ge  0.0000  0.5000  0.0000  2 Ir 2.47
Ge  0.0000  0.0000  0.5000  2 Ir 2.47
Ge  0.5000  0.0000  0.0000  2 Ir 2.47
Ir  0.0000  0.0000  0.0000  6 Ge 2.47

## Properties
Energy of formation from the pure elements, meV/atom: 12
Total DFT energy (no corrections), eV per atom: -4.867
M_tot, μB/atom: 0.000

# 4
This record from Alexandria via LeMat-Bulk describes SrGe3Ir3 after structural relaxation. The functional is PBE-GGA.

a = 6.8734 Å, b = 6.8734 Å, c = 8.4436 Å
α = 65.98°, β = 65.98°, γ = 60.00°
With the nearest neighbours (Å) after each atom.
Sites, in units of the cell vectors:
Sr  0.3284  0.3284  0.0149  6 Ge 3.22-3.35, 3 Ir 3.30
Sr  0.6716  0.6716  0.9851  6 Ge 3.22-3.35, 3 Ir 3.30
Ge  0.2104  0.6337  0.2904  4 Ir 2.39-2.51
Ge  0.8655  0.2104  0.2904  4 Ir 2.39-2.51
Ge  0.6337  0.8655  0.2904  4 Ir 2.39-2.51
Ge  0.3663  0.1345  0.7096  4 Ir 2.39-2.51
Ge  0.1345  0.7896  0.7096  4 Ir 2.39-2.51
Ge  0.7896  0.3663  0.7096  4 Ir 2.39-2.51
Ir  0.5169  0.7752  0.6273  4 Ge 2.39-2.51
Ir  0.7752  0.0806  0.6273  4 Ge 2.39-2.51
Ir  0.0806  0.5169  0.6273  4 Ge 2.39-2.51
Ir  0.9194  0.4831  0.3727  4 Ge 2.39-2.51
Ir  0.2248  0.9194  0.3727  4 Ge 2.39-2.51
Ir  0.4831  0.2248  0.3727  4 Ge 2.39-2.51

## Properties
Energy of formation from the pure elements, meV/atom: -249
Total DFT energy (no corrections), eV per atom: -6.266
Energy above the most stable polymorph in this dataset, eV/atom: 0.000
M_tot, μB/atom: 0.000

# 5
This record from Alexandria via LeMat-Bulk describes Sr2Ge2Ir after structural relaxation. The functional is PBE-GGA.

a = 6.8803 Å, b = 6.8803 Å, c = 4.9148 Å
α = 90.00°, β = 90.00°, γ = 90.00°
With the nearest neighbours (Å) after each atom.
Sites, in units of the cell vectors:
Sr  0.1776  0.6776  0.5000  6 Ge 3.05-3.28
Sr  0.6776  0.8224  0.5000  6 Ge 3.05-3.28
Sr  0.8224  0.3224  0.5000  6 Ge 3.05-3.28
Sr  0.3224  0.1776  0.5000  6 Ge 3.05-3.28
Ge  0.3641  0.8641  0.0000  1 Ge 2.64, 2 Ir 2.67
Ge  0.8641  0.6359  0.0000  1 Ge 2.64, 2 Ir 2.67
Ge  0.6359  0.1359  0.0000  1 Ge 2.64, 2 Ir 2.67
Ge  0.1359  0.3641  0.0000  1 Ge 2.64, 2 Ir 2.67
Ir  0.0000  0.0000  0.0000  4 Ge 2.67
Ir  0.5000  0.5000  0.0000  4 Ge 2.67

## Properties
Energy of formation from the pure elements, meV/atom: -444
Total DFT energy (no corrections), eV per atom: -4.736
M_tot, μB/atom: 0.000

# 6
This record from Alexandria via LeMat-Bulk describes Sr8GeIr2 after structural relaxation. The functional is PBE-GGA.

a = 6.4463 Å, b = 10.8674 Å, c = 8.7059 Å
α = 130.93°, β = 87.88°, γ = 84.94°
With the nearest neighbours (Å) after each atom.
Sites, in units of the cell vectors:
Sr  0.3233  0.6588  0.2484  2 Ir 3.01-3.24
Sr  0.6767  0.3412  0.7516  2 Ir 3.01-3.24
Sr  0.8047  0.8045  0.1173  2 Ir 3.00-3.32, 1 Ge 3.22
Sr  0.2399  0.1515  0.3802  1 Ge 3.12, 1 Ir 3.13
Sr  0.2550  0.6423  0.7290  1 Ir 2.99, 1 Ge 3.15
Sr  0.1953  0.1955  0.8827  2 Ir 3.00-3.32, 1 Ge 3.22
Sr  0.7601  0.8485  0.6198  1 Ge 3.12, 1 Ir 3.13
Sr  0.7450  0.3577  0.2710  1 Ir 2.99, 1 Ge 3.15
Ge  0.0000  0.0000  0.0000  6 Sr 3.12-3.22
Ir  0.1361  0.4547  0.8510  1 Ir 2.61
Ir  0.8639  0.5453  0.1490  1 Ir 2.61

## Properties
Energy of formation from the pure elements, meV/atom: -175
Total DFT energy (no corrections), eV per atom: -3.429
M_tot, μB/atom: 0.000

# 7
This record from Alexandria via LeMat-Bulk describes SrGe7Ir3 after structural relaxation. The functional is PBE-GGA.

a = 8.0008 Å, b = 8.0008 Å, c = 8.4240 Å
α = 61.65°, β = 61.65°, γ = 60.00°
With the nearest neighbours (Å) after each atom.
Sites, in units of the cell vectors:
Sr  0.5000  0.5000  0.5000  6 Ir 3.25, 12 Ge 3.31-3.32
Sr  0.0000  0.0000  0.0000  6 Ir 3.25, 12 Ge 3.31-3.32
Ge  0.6687  0.0723  0.4092  3 Ir 2.57-2.66, 3 Ge 2.80-2.83
Ge  0.0723  0.8497  0.4092  3 Ir 2.57-2.66, 3 Ge 2.80-2.83
Ge  0.8497  0.6687  0.4092  3 Ir 2.57-2.66, 3 Ge 2.80-2.83
Ge  0.8313  0.6503  0.0908  3 Ir 2.57-2.66, 3 Ge 2.80-2.83
Ge  0.4277  0.8313  0.0908  3 Ir 2.57-2.66, 3 Ge 2.80-2.83
Ge  0.6503  0.4277  0.0908  3 Ir 2.57-2.66, 3 Ge 2.80-2.83
Ge  0.3313  0.9277  0.5908  3 Ir 2.57-2.66, 3 Ge 2.80-2.83
Ge  0.9277  0.1503  0.5908  3 Ir 2.57-2.66, 3 Ge 2.80-2.83
Ge  0.1503  0.3313  0.5908  3 Ir 2.57-2.66, 3 Ge 2.80-2.83
Ge  0.1687  0.3497  0.9092  3 Ir 2.57-2.66, 3 Ge 2.80-2.83
Ge  0.5723  0.1687  0.9092  3 Ir 2.57-2.66, 3 Ge 2.80-2.83
Ge  0.3497  0.5723  0.9092  3 Ir 2.57-2.66, 3 Ge 2.80-2.83
Ge  0.7500  0.7500  0.7500  3 Ir 2.53
Ge  0.2500  0.2500  0.2500  3 Ir 2.53
Ir  0.4334  0.0666  0.7500  7 Ge 2.53-2.66
Ir  0.0666  0.7500  0.7500  7 Ge 2.53-2.66
Ir  0.7500  0.4334  0.7500  7 Ge 2.53-2.66
Ir  0.5666  0.9334  0.2500  7 Ge 2.53-2.66
Ir  0.9334  0.2500  0.2500  7 Ge 2.53-2.66
Ir  0.2500  0.5666  0.2500  7 Ge 2.53-2.66

## Properties
Energy of formation from the pure elements, meV/atom: -402
Total DFT energy (no corrections), eV per atom: -5.910
M_tot, μB/atom: 0.000

# 8
This record from Alexandria via LeMat-Bulk describes Sr3Ge7Ir2 after structural relaxation. The functional is PBE-GGA.

a = 4.4782 Å, b = 4.8041 Å, c = 14.3897 Å
α = 99.61°, β = 90.00°, γ = 90.00°
With the nearest neighbours (Å) after each atom.
Sites, in units of the cell vectors:
Sr  0.5000  0.5000  0.0000  4 Ge 3.28
Sr  0.5000  0.6957  0.3914  8 Ge 3.26-3.32
Sr  0.5000  0.3043  0.6086  8 Ge 3.26-3.32
Ge  0.0000  0.3879  0.7758  2 Ir 2.56
Ge  0.0000  0.8206  0.6412  1 Ir 2.80, 4 Ge 2.87-3.07
Ge  0.0000  0.0000  0.0000  2 Ir 2.29
Ge  0.0000  0.6121  0.2242  2 Ir 2.56
Ge  0.5000  0.1162  0.2325  2 Ir 2.46
Ge  0.5000  0.8838  0.7675  2 Ir 2.46
Ge  0.0000  0.1794  0.3588  1 Ir 2.80, 4 Ge 2.87-3.07
Ir  0.0000  0.9194  0.8388  3 Ge 2.29-2.46
Ir  0.0000  0.0806  0.1612  3 Ge 2.29-2.46

## Properties
Energy of formation from the pure elements, meV/atom: -173
Total DFT energy (no corrections), eV per atom: -4.764
M_tot, μB/atom: 0.000

# 9
This record from Alexandria via LeMat-Bulk describes SrGe3Ir after structural relaxation. The functional is PBE-GGA.

a = 5.7933 Å, b = 6.1881 Å, c = 6.4976 Å
α = 90.01°, β = 89.99°, γ = 90.00°
With the nearest neighbours (Å) after each atom.
Sites, in units of the cell vectors:
Sr  0.4012  0.2917  0.7005  7 Ge 3.06-3.37, 1 Ir 3.28
Sr  0.9013  0.0610  0.2007  7 Ge 3.06-3.37, 1 Ir 3.28
Ge  0.3279  0.3522  0.2006  1 Ir 2.39
Ge  0.4948  0.8110  0.9294  2 Ir 2.46, 1 Ge 2.70
Ge  0.9949  0.5419  0.4292  2 Ir 2.46, 1 Ge 2.70
Ge  0.8280  0.0005  0.7008  1 Ir 2.39
Ge  0.9949  0.5420  0.9724  2 Ir 2.46, 1 Ge 2.70
Ge  0.4952  0.8109  0.4725  2 Ir 2.46, 1 Ge 2.70
Ir  0.1590  0.7711  0.7008  5 Ge 2.39-2.46
Ir  0.6589  0.5816  0.2008  5 Ge 2.39-2.46

## Properties
Energy of formation from the pure elements, meV/atom: -400
Total DFT energy (no corrections), eV per atom: -5.279
M_tot, μB/atom: 0.000

# 10
This record from Alexandria via LeMat-Bulk describes Sr2TaGe3Ir4 after structural relaxation. The functional is PBE-GGA.

a = 4.2523 Å, b = 4.2523 Å, c = 10.8824 Å
α = 90.00°, β = 90.00°, γ = 90.00°
With the nearest neighbours (Å) after each atom.
Sites, in units of the cell vectors:
Sr  0.5000  0.0000  0.2392  6 Ge 3.26-3.55, 8 Ir 3.31-3.36, 2 Ta 3.55
Sr  0.0000  0.5000  0.7608  6 Ge 3.26-3.55, 8 Ir 3.31-3.36, 2 Ta 3.55
Ta  0.5000  0.5000  0.5000  4 Ir 2.58
Ge  0.0000  0.0000  0.5000  4 Ir 2.58
Ge  0.5000  0.0000  0.8762  5 Ir 2.52-2.63
Ge  0.0000  0.5000  0.1238  5 Ir 2.52-2.63
Ir  0.5000  0.5000  0.0000  4 Ge 2.52
Ir  0.0000  0.0000  0.0000  4 Ge 2.52
Ir  0.5000  0.0000  0.6344  3 Ge 2.58-2.63, 2 Ta 2.58
Ir  0.0000  0.5000  0.3656  3 Ge 2.58-2.63, 2 Ta 2.58

## Properties
Energy of formation from the pure elements, meV/atom: -578
Total DFT energy (no corrections), eV per atom: -7.029
M_tot, μB/atom: 0.000

# 11
This record from Alexandria via LeMat-Bulk describes Sr2ThGe3Ir4 after structural relaxation. The functional is PBE-GGA.

a = 4.3608 Å, b = 4.3608 Å, c = 11.1815 Å
α = 90.00°, β = 90.00°, γ = 90.00°
With the nearest neighbours (Å) after each atom.
Sites, in units of the cell vectors:
Sr  0.5000  0.0000  0.2259  4 Ge 3.31, 8 Ir 3.34-3.36
Sr  0.0000  0.5000  0.7741  4 Ge 3.31, 8 Ir 3.34-3.36
Th  0.5000  0.5000  0.5000  4 Ir 2.78, 4 Ge 3.08
Ge  0.0000  0.0000  0.5000  4 Ir 2.78, 4 Th 3.08
Ge  0.5000  0.0000  0.8826  5 Ir 2.54-2.56
Ge  0.0000  0.5000  0.1174  5 Ir 2.54-2.56
Ir  0.5000  0.5000  0.0000  4 Ge 2.54
Ir  0.0000  0.0000  0.0000  4 Ge 2.54
Ir  0.5000  0.0000  0.6539  3 Ge 2.56-2.78, 2 Th 2.78
Ir  0.0000  0.5000  0.3461  3 Ge 2.56-2.78, 2 Th 2.78

## Properties
Energy of formation from the pure elements, meV/atom: -615
Total DFT energy (no corrections), eV per atom: -6.623
M_tot, μB/atom: 0.000